A geometry-optimized YV2CuAs structure. Source: Alexandria, functional GGA-PBE.

```
YV2CuAs
1.0
-2.378 -3.846 -0.141
2.799 -1.876 3.973
-2.984 1.738 2.923
As V Cu Y
1 2 1 1
Direct
0.500 0.500 0.500
0.500 0.000 0.000
0.000 0.000 0.500
0.000 0.000 0.000
0.000 0.500 0.000
```

Magnetic moment (μB/cell): 3.739
Formation energy (eV per atom): 0.60
Space group: No. 123
Theoretical density (g/cm³): 5.13